(1)
Here is an optimized crystal structure of Na2PbSO from the Alexandria database. Energies are from PBE.

Cell: 4.4915 4.4915 4.9707 Å, 90.00 90.00 90.00°
Closest atoms and distances in Å follow each position.
Positions (direct):
1 Na 0.0000 0.5000 0.0000  2 O 2.25
2 Na 0.5000 0.0000 0.0000  2 O 2.25
3 Pb 0.0000 0.0000 0.5000  2 O 2.49
4 S 0.5000 0.5000 0.5000  4 Pb 3.18, 8 Na 3.35
5 O 0.0000 0.0000 0.0000  4 Na 2.25, 2 Pb 2.49

Symmetry: No. 123
Spin magnetization in μB/cell: 0.0
Raw formation energy in kJ/mol of atoms: -96

(2)
Here is an optimized crystal structure of Na2PbSO8 from the Alexandria database. Energies are from PBE.

Cell: 5.0749 5.0749 6.9986 Å, 90.00 90.00 120.00°
Closest atoms and distances in Å follow each position.
Positions (direct):
1 Na 0.3333 0.6667 0.3617  10 O 2.37-2.54
2 Na 0.6667 0.3333 0.6383  10 O 2.37-2.54
3 Pb 0.0000 0.0000 0.0000  12 O 2.85-2.93
4 S 0.0000 0.0000 0.5000  6 O 1.63
5 O 0.1490 0.2981 0.6378  1 S 1.63
6 O 0.1490 0.8510 0.6378  1 S 1.63
7 O 0.2981 0.1490 0.3622  1 S 1.63
8 O 0.3333 0.6667 0.0225  1 Na 2.37
9 O 0.6667 0.3333 0.9775  1 Na 2.37
10 O 0.7019 0.8510 0.6378  1 S 1.63
11 O 0.8510 0.1490 0.3622  1 S 1.63
12 O 0.8510 0.7019 0.3622  1 S 1.63

Symmetry: No. 164
Spin magnetization in μB/cell: 6.0
Raw formation energy in kJ/mol of atoms: -42